1.
Entry from OQMD: an optimized crystal structure of Zr3Al3IrPd2 (PBE-GGA).

Computed properties:
symmetry	P-62m (189)
size of the total moment	0.01	μB per formula unit
E_tot	-63.3	eV per formula unit

a b c (Å): 7.0613 7.0613 3.7217
angles (deg): 90.00 90.00 120.00
Fractional positions:
Zr1 0.0000 0.6002 0.0000
Zr2 0.3998 0.3998 0.0000
Zr3 0.6002 0.0000 0.0000
Al1 0.2528 0.0000 0.5000
Al2 0.0000 0.2528 0.5000
Al3 0.7472 0.7472 0.5000
Pd1 0.6667 0.3333 0.5000
Pd2 0.3333 0.6667 0.5000
Ir1 0.0000 0.0000 0.0000

=====

2.
Entry from OQMD: an optimized crystal structure of Ba2ZnAgH6 (PBE-GGA).

Computed properties:
symmetry	Fm-3m (225)
E_tot	-30.4	eV per formula unit

a b c (Å): 5.7494 5.7494 5.7494
angles (deg): 60.00 60.00 60.00
Fractional positions:
Ba1 0.7500 0.7500 0.7500
Ba2 0.2500 0.2500 0.2500
Zn1 0.5000 0.5000 0.5000
H1 0.2641 0.7359 0.7359
H2 0.7359 0.2641 0.7359
H3 0.7359 0.7359 0.2641
H4 0.2641 0.2641 0.7359
H5 0.7359 0.2641 0.2641
H6 0.2641 0.7359 0.2641
Ag1 0.0000 0.0000 0.0000

=====

3.
Entry from OQMD: an optimized crystal structure of FeSiNiPt (PBE-GGA).

Computed properties:
energy relative to the lowest polymorph listed for this composition	0.0	meV per atom
symmetry	F-43m (216)
size of the total moment	2.66	μB per formula unit
E_tot	-26.6	eV per formula unit

a b c (Å): 4.1330 4.1330 4.1330
angles (deg): 60.00 60.00 60.00
Fractional positions:
Si1 0.0000 0.0000 0.0000
Ni1 0.5000 0.5000 0.5000
Fe1 0.7500 0.7500 0.7500
Pt1 0.2500 0.2500 0.2500

=====

4.
Entry from OQMD: an optimized crystal structure of Lu4SiAuN2 (PBE-GGA).

Computed properties:
symmetry	P-6m2 (187)
size of the total moment	0.01	μB per formula unit
E_tot	-52.7	eV per formula unit

a b c (Å): 3.4020 3.4020 14.0991
angles (deg): 90.00 90.00 120.00
Fractional positions:
Au1 0.0000 0.0000 0.0000
N1 0.3333 0.6667 0.7442
N2 0.3333 0.6667 0.2558
Lu1 0.0000 0.0000 0.3454
Lu2 0.6667 0.3333 0.8425
Lu3 0.6667 0.3333 0.1575
Lu4 0.0000 0.0000 0.6546
Si1 0.6667 0.3333 0.5000

=====

5.
Entry from OQMD: an optimized crystal structure of Cu7Ag3 (PBE-GGA).

Computed properties:
energy relative to the lowest polymorph listed for this composition	36.4	meV per atom
symmetry	Cm (8)
E_tot	-33.7	eV per formula unit

a b c (Å): 8.9871 8.9871 5.6517
angles (deg): 99.02 99.02 17.71
Fractional positions:
Cu1 0.3988 0.3988 0.1866
Cu2 0.1953 0.1953 0.0760
Cu3 0.6011 0.6011 0.8134
Cu4 0.0092 0.0092 0.0172
Cu5 0.6108 0.6108 0.2913
Cu6 0.1924 0.1924 0.6134
Cu7 0.7920 0.7920 0.9013
Ag1 0.7920 0.7920 0.3906
Ag2 0.4013 0.4013 0.7218
Ag3 0.0072 0.0072 0.4883

=====

6.
Entry from OQMD: an optimized crystal structure of TaMo (PBE-GGA).

Computed properties:
symmetry	P-6m2 (187)
size of the total moment	0.01	μB per formula unit
E_tot	-21.9	eV per formula unit

a b c (Å): 2.8300 2.8299 4.9961
angles (deg): 90.00 90.00 120.00
Fractional positions:
Ta1 0.3333 0.6667 0.2500
Mo1 0.6667 0.3333 0.7500